(1)
Compound: V2GeH
Source: the Alexandria database
Functional: PBE
Structure: relaxed

Calculated values
Polymorph energy (0 for the lowest one) (meV per atom): 409.0
Density (g/cm³): 6.50
V (A^3/atom): 11.20
E_tot (eV/atom): -6.3553

abc: 2.645 2.645 6.403
angles: 90.00 90.00 90.00
Space group P4/mmm (No. 123)
Inequivalent atoms, fractional coordinates:
V1 0.000 0.000 0.188 (multiplicity 2)
Ge1 0.500 0.500 0.500 (multiplicity 1)
H1 0.500 0.500 0.000 (multiplicity 1)

=====

(2)
Compound: Er4Tm3
Source: the Alexandria database
Functional: PBE
Structure: relaxed

Calculated values
Density (g/cm³): 9.28
V (A^3/atom): 30.05
Formation energy from the elements (meV/atom): 26
E_tot (eV/atom): -4.4981

abc: 11.024 4.936 7.810
angles: 90.00 98.21 90.00
Space group C2/m (No. 12)
Inequivalent atoms, fractional coordinates:
Er1 0.143 0.000 0.428 (multiplicity 4)
Er2 0.214 0.500 0.143 (multiplicity 4)
Tm1 0.000 0.000 0.000 (multiplicity 2)
Tm2 0.071 0.500 0.714 (multiplicity 4)

=====

(3)
Compound: CaZnGaAg3
Source: the Alexandria database
Functional: PBE
Structure: relaxed

Calculated values
Density (g/cm³): 6.49
V (A^3/atom): 21.27
Formation energy from the elements (meV/atom): -99
E_tot (eV/atom): -2.5753

abc: 6.782 12.717 5.919
angles: 90.00 90.00 90.00
Space group Cmcm (No. 63)
Inequivalent atoms, fractional coordinates:
Ca1 0.000 0.207 0.250 (multiplicity 4)
Zn1 0.000 0.438 0.250 (multiplicity 4)
Ga1 0.000 0.142 0.750 (multiplicity 4)
Ag1 0.000 0.348 0.750 (multiplicity 4)
Ag2 0.207 0.000 0.000 (multiplicity 8)